No. 1
Density functional theory data (PBE) for crystalline Cs2MnCl3 at its relaxed geometry.

Mass density = 3.20 Mg/m³
Total moment = 4.07 μB/cell
DOS at the Fermi energy = 0.95 states/eV per cell
Final energy = -4.07 eV/atom
Space group = Immm (71)

Cell: 9.157 9.157 9.157 Å, 147.76 147.05 46.76°
Fractional coordinates of all 6 atoms:
Cs1 0.141 0.141 0.000
Cs2 0.859 0.859 0.000
Mn1 0.500 0.500 0.000
Cl1 0.000 0.500 0.500
Cl2 0.355 0.355 0.000
Cl3 0.645 0.645 0.000

=====

No. 2
Density functional theory data (PBE) for crystalline Cs3MnCl4 at its relaxed geometry.

Mass density = 3.28 Mg/m³
Distance to the lowest polymorph of the same formula = 0 meV/atom
Total moment = 4.00 μB/cell
DOS at the Fermi energy = 1.09 states/eV per cell
Space group = I-42m (121)

Cell: 7.322 7.322 7.322 Å, 111.41 111.41 105.67°
Fractional coordinates of all 8 atoms:
Cs1 0.000 0.000 0.000
Cs2 0.250 0.750 0.500
Cs3 0.750 0.250 0.500
Mn1 0.500 0.500 0.000
Cl1 0.286 0.286 0.575
Cl2 0.289 0.714 0.000
Cl3 0.711 0.711 0.425
Cl4 0.714 0.289 0.000

=====

No. 3
Density functional theory data (PBE) for crystalline Cs3Mn2Cl9 at its relaxed geometry.

Mass density = 3.13 Mg/m³
Total moment = 16.00 μB/cell
DOS at the Fermi energy = 21.18 states/eV per cell
Final energy = -4.13 eV/atom
Space group = R-3c (167)

Cell: 9.680 9.680 9.680 Å, 81.36 81.36 81.36°
Fractional coordinates of all 28 atoms:
Cs1 0.090 0.750 0.410
Cs2 0.250 0.590 0.910
Cs3 0.410 0.090 0.750
Cs4 0.590 0.910 0.250
Cs5 0.750 0.410 0.090
Cs6 0.910 0.250 0.590
Mn1 0.163 0.163 0.163
Mn2 0.337 0.337 0.337
Mn3 0.663 0.663 0.663
Mn4 0.837 0.837 0.837
Cl1 0.056 0.900 0.740
Cl2 0.100 0.260 0.944
Cl3 0.101 0.399 0.250
Cl4 0.240 0.400 0.556
Cl5 0.250 0.101 0.399
Cl6 0.260 0.944 0.100
Cl7 0.399 0.250 0.101
Cl8 0.400 0.556 0.240
Cl9 0.444 0.760 0.600
Cl10 0.556 0.240 0.400
Cl11 0.600 0.444 0.760
Cl12 0.601 0.750 0.899
Cl13 0.740 0.056 0.900
Cl14 0.750 0.899 0.601
Cl15 0.760 0.600 0.444
Cl16 0.899 0.601 0.750
Cl17 0.900 0.740 0.056
Cl18 0.944 0.100 0.260

=====

No. 4
Density functional theory data (PBE) for crystalline Cs2Mn3Cl8 at its relaxed geometry.

Mass density = 2.90 Mg/m³
Total moment = 15.00 μB/cell
DOS at the Fermi energy = 0.00 states/eV per cell
Final energy = -4.76 eV/atom
Space group = C2/m (12)

Cell: 9.110 9.110 6.676 Å, 105.53 105.53 50.56°
Fractional coordinates of all 13 atoms:
Cs1 0.234 0.234 0.175
Cs2 0.766 0.766 0.825
Mn1 0.240 0.760 0.500
Mn2 0.500 0.500 0.000
Mn3 0.760 0.240 0.500
Cl1 0.098 0.098 0.464
Cl2 0.189 0.641 0.121
Cl3 0.359 0.811 0.879
Cl4 0.411 0.411 0.607
Cl5 0.589 0.589 0.393
Cl6 0.641 0.189 0.121
Cl7 0.811 0.359 0.879
Cl8 0.902 0.902 0.536

=====

mass density of number 3 (Cs3Mn2Cl9)? 3.13 Mg/m³